Entry a
VASP calculation (PBE) on a relaxed structure of Er2NiPd.

Cell: 4.322 5.492 7.463 Å, 110.16 90.00 90.00°
Sites, in units of the cell vectors:
Er: 0.750 0.226 0.427
Er: 0.250 0.774 0.573
Er: 0.250 0.784 0.066
Er: 0.750 0.216 0.934
Ni: 0.250 0.341 0.209
Ni: 0.750 0.659 0.791
Pd: 0.750 0.663 0.289
Pd: 0.250 0.337 0.711

## Properties
N(E_F) = 2.9 states/eV/f.u.
mass density = 9.98 g cm⁻³
SG = No. 11

---

Entry b
VASP calculation (PBE) on a relaxed structure of Er2NiPd.

Cell: 3.936 3.936 6.958 Å, 73.57 73.57 60.00°
Sites, in units of the cell vectors:
Ni: 0.000 0.000 0.000
Pd: 0.500 0.500 0.500
Er: 0.744 0.744 0.767
Er: 0.256 0.256 0.233

## Properties
N(E_F) = 2.5 states/eV/f.u.
mass density = 9.41 g cm⁻³
SG = No. 166

---

Energetically preferred structure: entry a | next structure: +0.203 eV/atom

---

Entry a
VASP calculation (PBE) on a relaxed structure of Er4Ni2Pd.

Cell: 4.777 4.777 8.227 Å, 73.12 73.12 60.00°
Sites, in units of the cell vectors:
Er: 0.873 0.873 0.382
Er: 0.127 0.127 0.618
Er: 0.622 0.622 0.133
Er: 0.378 0.378 0.867
Ni: 0.750 0.750 0.751
Ni: 0.250 0.250 0.249
Pd: 0.000 0.000 0.000

## Properties
N(E_F) = 5.9 states/eV/f.u.
mass density = 9.68 g cm⁻³
SG = No. 166

---

Entry b
VASP calculation (PBE) on a relaxed structure of Er4Ni2Pd.

Cell: 7.426 8.071 7.161 Å, 112.90 106.79 114.28°
Sites, in units of the cell vectors:
Er: 0.849 0.277 0.222
Er: 0.242 0.529 0.098
Er: 0.983 0.660 0.755
Er: 0.753 0.961 0.659
Er: 0.455 0.106 0.380
Er: 0.356 0.175 0.863
Er: 0.424 0.539 0.687
Er: 0.879 0.738 0.245
Ni: 0.766 0.355 0.855
Ni: 0.599 0.881 0.160
Ni: 0.572 0.471 0.351
Ni: 0.018 0.202 0.563
Pd: 0.276 0.774 0.552
Pd: 0.077 0.082 0.110

## Properties
N(E_F) = 4.7 states/eV/f.u.
mass density = 9.73 g cm⁻³
SG = No. 1

---

Energetically preferred structure: entry b | next structure: +0.026 eV/atom

---

Entry a
VASP calculation (PBE) on a relaxed structure of Er4NiPd.

Cell: 7.646 7.646 7.646 Å, 105.80 105.80 117.10°
Sites, in units of the cell vectors:
Er: 0.260 0.958 0.698
Er: 0.740 0.446 0.706
Er: 0.708 0.510 0.198
Er: 0.196 0.990 0.206
Er: 0.312 0.510 0.802
Er: 0.784 0.990 0.794
Er: 0.740 0.034 0.294
Er: 0.260 0.562 0.302
Ni: 0.753 0.753 0.000
Ni: 0.503 0.003 0.500
Pd: 0.247 0.247 0.000
Pd: 0.997 0.497 0.500

## Properties
N(E_F) = 6.1 states/eV/f.u.
mass density = 8.16 g cm⁻³
SG = No. 109

---

Entry b
VASP calculation (PBE) on a relaxed structure of Er4NiPd.

Cell: 6.712 6.712 7.998 Å, 114.81 114.81 90.00°
Sites, in units of the cell vectors:
Er: 0.453 0.953 0.266
Er: 0.953 0.813 0.266
Er: 0.313 0.453 0.266
Er: 0.687 0.547 0.734
Er: 0.047 0.187 0.734
Er: 0.547 0.047 0.734
Er: 0.187 0.687 0.734
Er: 0.813 0.313 0.266
Ni: 0.250 0.250 0.500
Ni: 0.750 0.750 0.500
Pd: 0.500 0.500 0.000
Pd: 0.000 0.000 0.000

## Properties
N(E_F) = 5.6 states/eV/f.u.
mass density = 9.55 g cm⁻³
SG = No. 140

---

Energetically preferred structure: entry b | next structure: +0.086 eV/atom

---

Entry a
VASP calculation (PBE) on a relaxed structure of Er8NiPd2.

Cell: 5.016 6.640 8.931 Å, 104.05 106.31 90.00°
Sites, in units of the cell vectors:
Er: 0.410 0.556 0.821
Er: 0.662 0.976 0.325
Er: 0.795 0.678 0.591
Er: 0.969 0.214 0.937
Er: 0.205 0.322 0.409
Er: 0.338 0.024 0.675
Er: 0.590 0.444 0.179
Er: 0.031 0.786 0.063
Ni: 0.500 0.000 0.000
Pd: 0.810 0.270 0.621
Pd: 0.190 0.730 0.379

## Properties
N(E_F) = 13.5 states/eV/f.u.
mass density = 9.68 g cm⁻³
SG = No. 12

---

Entry b
VASP calculation (PBE) on a relaxed structure of Er8NiPd2.

Cell: 5.497 9.284 9.284 Å, 137.64 99.53 99.53°
Sites, in units of the cell vectors:
Er: 0.594 0.420 0.183
Er: 0.594 0.183 0.420
Er: 0.050 0.252 0.252
Er: 0.956 0.201 0.800
Er: 0.956 0.800 0.201
Er: 0.856 0.745 0.745
Er: 0.320 0.824 0.591
Er: 0.320 0.591 0.824
Ni: 0.438 0.008 0.008
Pd: 0.458 0.751 0.258
Pd: 0.458 0.258 0.751

## Properties
N(E_F) = 10.2 states/eV/f.u.
mass density = 9.42 g cm⁻³
SG = No. 8

---

Energetically preferred structure: entry a | next structure: +0.025 eV/atom

---

Entry a
VASP calculation (PBE) on a relaxed structure of PmErNiPd.

Cell: 4.930 4.930 4.930 Å, 60.00 60.00 60.00°
Sites, in units of the cell vectors:
Ni: 0.250 0.250 0.250
Pm: 0.500 0.500 0.500
Pd: 0.750 0.750 0.750
Er: 0.000 0.000 0.000

## Properties
N(E_F) = 4.1 states/eV/f.u.
mass density = 9.35 g cm⁻³
SG = No. 216

---

Entry b
VASP calculation (PBE) on a relaxed structure of PmErNiPd.

Cell: 3.806 4.454 5.505 Å, 90.00 110.22 90.00°
Sites, in units of the cell vectors:
Pm: 0.142 0.000 0.284
Er: 0.863 0.500 0.727
Ni: 0.418 0.000 0.836
Pd: 0.576 0.500 0.153

## Properties
N(E_F) = 2.5 states/eV/f.u.
mass density = 9.05 g cm⁻³
SG = No. 38

---

Energetically preferred structure: entry b | next structure: +0.059 eV/atom

---

Entry a
VASP calculation (PBE) on a relaxed structure of PrErNiPd.

Cell: 3.836 4.505 5.522 Å, 90.00 110.32 90.00°
Sites, in units of the cell vectors:
Pr: 0.143 0.000 0.286
Er: 0.864 0.500 0.728
Ni: 0.418 0.000 0.836
Pd: 0.575 0.500 0.150

## Properties
N(E_F) = 2.3 states/eV/f.u.
mass density = 8.78 g cm⁻³
SG = No. 38

---

Entry b
VASP calculation (PBE) on a relaxed structure of PrErNiPd.

Cell: 4.970 4.970 4.970 Å, 60.00 60.00 60.00°
Sites, in units of the cell vectors:
Pr: 0.500 0.500 0.500
Ni: 0.250 0.250 0.250
Pd: 0.750 0.750 0.750
Er: 0.000 0.000 0.000

## Properties
N(E_F) = 3.9 states/eV/f.u.
mass density = 9.06 g cm⁻³
SG = No. 216

---

Energetically preferred structure: entry a | next structure: +0.067 eV/atom